Below is a geometry-optimized RbCoBr2F structure, with properties calculated at the PBE with a Hubbard U level.

Its density of states at the Fermi level is 0.000 states/eV/atom. As for the volume: 27.79 A^3/atom. The value obtained for the total magnetization is 0.5981 μB/atom. As for the excess energy over the best structure of this formula in the dataset: 0 kJ/mol of formula units. Its crystal system is monoclinic. For the density, the calculation gives 3862 kg/m3.

The space group is P2_1/m (No. 11) and the conventional cell measures 7.914, 4.017 and 9.441 Å, with angles of 90.00, 112.18 and 90.00 degrees. The inequivalent atoms are Rb at (0.131, 0.250, 0.367), Co at (0.368, 0.250, 0.816), Br at (0.298, 0.750, 0.980), Br at (0.444, 0.750, 0.667) and F at (0.114, 0.250, 0.672).